Entry from Alexandria via LeMat-Bulk: an optimized crystal structure of LaSm7Mg2 (GGA-PBE).

```
LaSm7Mg2
1.0
5.4781 0.0000 0.0000
0.0000 9.2772 -0.5319
0.0000 -4.6601 8.0395
La Sm Mg
1 7 2
Direct
0.0000 0.0000 0.0000 La
0.0000 0.7818 0.2182 Sm
0.0000 0.2182 0.7818 Sm
0.5000 0.0668 0.2998 Sm
0.5000 0.9332 0.7002 Sm
0.5000 0.2998 0.0668 Sm
0.5000 0.7002 0.9332 Sm
0.5000 0.5000 0.5000 Sm
0.5000 0.7026 0.2974 Mg
0.5000 0.2974 0.7026 Mg
```

## Properties
ΔE_f = 542 meV/atom
space group = Cmmm
E_tot = -3.5728 eV/atom
size of the total moment = 0.00 μB per cell



Entry from Alexandria via LeMat-Bulk: an optimized crystal structure of K12HAu6 (GGA-PBE).

```
K12HAu6
1.0
-7.4021 -5.6799 0.8052
4.9721 -3.0068 7.3443
-3.6677 7.7465 3.7738
K H Au
12 1 6
Direct
0.8186 0.5690 0.4266 K
0.4266 0.8186 0.5690 K
0.5690 0.4266 0.8186 K
0.1814 0.4310 0.5734 K
0.5734 0.1814 0.4310 K
0.4310 0.5734 0.1814 K
0.0637 0.9856 0.3093 K
0.0144 0.6907 0.9363 K
0.6907 0.9363 0.0144 K
0.9363 0.0144 0.6907 K
0.9856 0.3093 0.0637 K
0.3093 0.0637 0.9856 K
0.0000 0.0000 0.0000 H
0.7053 0.8733 0.3569 Au
0.6431 0.2947 0.1267 Au
0.1267 0.6431 0.2947 Au
0.2947 0.1267 0.6431 Au
0.3569 0.7053 0.8733 Au
0.8733 0.3569 0.7053 Au
```

## Properties
space group = R-3
E_tot = -2.0810 eV/atom
size of the total moment = 0.00 μB per cell



What did the second record say?
Entry from Alexandria via LeMat-Bulk: an optimized crystal structure of K12HAu6 (GGA-PBE).

```
K12HAu6
1.0
-7.4021 -5.6799 0.8052
4.9721 -3.0068 7.3443
-3.6677 7.7465 3.7738
K H Au
12 1 6
Direct
0.8186 0.5690 0.4266 K
0.4266 0.8186 0.5690 K
0.5690 0.4266 0.8186 K
0.1814 0.4310 0.5734 K
0.5734 0.1814 0.4310 K
0.4310 0.5734 0.1814 K
0.0637 0.9856 0.3093 K
0.0144 0.6907 0.9363 K
0.6907 0.9363 0.0144 K
0.9363 0.0144 0.6907 K
0.9856 0.3093 0.0637 K
0.3093 0.0637 0.9856 K
0.0000 0.0000 0.0000 H
0.7053 0.8733 0.3569 Au
0.6431 0.2947 0.1267 Au
0.1267 0.6431 0.2947 Au
0.2947 0.1267 0.6431 Au
0.3569 0.7053 0.8733 Au
0.8733 0.3569 0.7053 Au
```

## Properties
space group = R-3
E_tot = -2.0810 eV/atom
size of the total moment = 0.00 μB per cell



Question: Which formula does entry 2 have?
Answer: K12HAu6